# 1
DFT (PBE) results for a geometry-optimized Al2FeW structure.

As for the energy relative to the lowest polymorph listed for this composition: 3.2 meV/atom. Its calculated volume is 55 Å³/cell. As for the total magnetization: 0.81 μB/f.u. The formation energy is -0.55 eV/f.u.

The structure belongs to space group P4mm (No. 99); the cell edges are 3.019, 3.019 and 6.079 Å and the angles 90.00°, 90.00° and 90.00°. The asymmetric unit holds Al at (0.000, 0.000, 0.000), Al at (0.500, 0.500, 0.275), Fe at (0.000, 0.000, 0.483) and W at (0.500, 0.500, 0.733).

---

# 2
DFT (PBE) results for a geometry-optimized Pt2C structure.

As for the energy relative to the lowest polymorph listed for this composition: 33.3 meV/atom. Its calculated volume is 79 Å³/cell. As for the total magnetization: 0.00 μB/f.u. The formation energy is 1.77 eV/f.u.

The structure belongs to space group Pnnm (No. 58); the cell edges are 4.192, 5.634 and 3.340 Å and the angles 90.00°, 90.00° and 90.00°. The asymmetric unit holds Pt at (0.235, 0.174, 0.000) and C at (0.000, 0.000, 0.500).

---

# 3
DFT (PBE) results for a geometry-optimized Ca5Ni9P7 structure.

Its calculated volume is 328 Å³/cell. As for the total magnetization: 0.00 μB/f.u. The formation energy is -16.33 eV/f.u.

The structure belongs to space group P-6 (No. 174); the cell edges are 9.9916, 9.9916 and 3.7943 Å and the angles 90.00°, 90.00° and 120.00°. The asymmetric unit holds Ca at (0.0000, 0.0000, 0.0000), Ca at (0.2037, 0.7772, 0.0000), Ca at (0.6667, 0.3333, 0.5000), Ni at (0.0350, 0.4856, 0.5000), Ni at (0.3470, 0.2667, 0.5000), Ni at (0.3994, 0.1268, 0.0000), P at (0.2544, 0.0176, 0.5000), P at (0.3333, 0.6667, 0.5000) and P at (0.4814, 0.3913, 0.0000).

---

# 4
DFT (PBE) results for a geometry-optimized AcSn7Pd5 structure.

Its calculated volume is 568 Å³/cell. As for the total magnetization: 0.00 μB/f.u. The formation energy is -5.93 eV/f.u.

The structure belongs to space group Imm2 (No. 44); the cell edges are 5.989, 10.023 and 9.456 Å and the angles 90.00°, 90.00° and 90.00°. The asymmetric unit holds Ac at (0.000, 0.000, 0.000), Sn at (0.000, 0.000, 0.351), Sn at (0.000, 0.000, 0.660), Sn at (0.000, 0.309, 0.480), Sn at (0.000, 0.340, 0.017), Sn at (0.000, 0.500, 0.732), Pd at (0.000, 0.500, 0.266) and Pd at (0.245, 0.260, 0.744).

---

# 5
DFT (PBE) results for a geometry-optimized Pr4SiCl5 structure.

Its calculated volume is 627 Å³/cell. As for the total magnetization: 0.00 μB/f.u. As for the uncorrected formation energy: -1.749 eV per atom.

The structure belongs to space group C2/m (No. 12); the cell edges are 18.451, 4.145 and 8.496 Å and the angles 90.00°, 105.19° and 90.00°. The asymmetric unit holds Pr at (0.000, 0.000, 0.233), Pr at (0.156, 0.500, 0.096), Si at (0.000, 0.500, 0.000), Cl at (0.000, 0.500, 0.500), Cl at (0.166, 0.000, 0.333) and Cl at (0.170, 0.000, 0.861).

---

# 6
DFT (PBE) results for a geometry-optimized RbYEr4S8 structure.

Its calculated volume is 1179 Å³/cell. As for the total magnetization: 0.00 μB/f.u. As for the uncorrected formation energy: -1.897 eV per atom.

The structure belongs to space group R3m (No. 160, hexagonal axes); the cell edges are 8.2000, 8.2000 and 20.2519 Å and the angles 90.00°, 90.00° and 120.00°. The asymmetric unit holds Rb at (0.0000, 0.0000, 0.0000), Y at (0.0000, 0.0000, 0.6321), Er at (0.0000, 0.0000, 0.2523), Er at (0.1727, 0.3454, 0.4588), S at (0.0000, 0.0000, 0.3841), S at (0.0000, 0.0000, 0.8571), S at (0.0488, 0.5244, 0.3846) and S at (0.1757, 0.3515, 0.2078).

---

Copy entry 5 word for word.
DFT (PBE) results for a geometry-optimized Pr4SiCl5 structure.

Its calculated volume is 627 Å³/cell. As for the total magnetization: 0.00 μB/f.u. As for the uncorrected formation energy: -1.749 eV per atom.

The structure belongs to space group C2/m (No. 12); the cell edges are 18.451, 4.145 and 8.496 Å and the angles 90.00°, 105.19° and 90.00°. The asymmetric unit holds Pr at (0.000, 0.000, 0.233), Pr at (0.156, 0.500, 0.096), Si at (0.000, 0.500, 0.000), Cl at (0.000, 0.500, 0.500), Cl at (0.166, 0.000, 0.333) and Cl at (0.170, 0.000, 0.861).